Entry 1:
DFT (PBE) results for a relaxed structure of Cd4GaAg6.

## Properties
formation energy from the elements: 8.4 kJ/mol of atoms

a = 5.572 Å, b = 5.572 Å, c = 14.592 Å
α = 90.00°, β = 90.00°, γ = 90.00°
Space group I-42m (No. 121)
Inequivalent atoms, fractional coordinates:
1 Cd 0.197 0.197 0.330 (multiplicity 8)
2 Ga 0.000 0.000 0.500 (multiplicity 2)
3 Ag 0.000 0.500 0.000 (multiplicity 4)
4 Ag 0.186 0.186 0.134 (multiplicity 8)

---

Entry 2:
DFT (PBE) results for a relaxed structure of LiCdBiAu.

## Properties
polymorph energy (0 for the lowest one): 0.0 meV per atom
formation energy from the elements: -21.4 kJ/mol of atoms

a = 9.432 Å, b = 4.355 Å, c = 4.590 Å
α = 90.00°, β = 112.38°, γ = 90.00°
Space group Cm (No. 8)
Inequivalent atoms, fractional coordinates:
1 Li 0.000 0.000 0.000 (multiplicity 2)
2 Cd 0.488 0.000 0.444 (multiplicity 2)
3 Bi 0.243 0.000 0.738 (multiplicity 2)
4 Au 0.245 0.500 0.221 (multiplicity 2)

---

Entry 3:
DFT (PBE) results for a relaxed structure of Sr2SnPt.

## Properties
formation energy from the elements: -70.1 kJ/mol of atoms

a = 6.038 Å, b = 4.776 Å, c = 9.040 Å
α = 90.00°, β = 103.58°, γ = 90.00°
Space group P2_1/m (No. 11)
Inequivalent atoms, fractional coordinates:
1 Sr 0.203 0.250 0.433 (multiplicity 2)
2 Sr 0.272 0.750 0.076 (multiplicity 2)
3 Sn 0.345 0.750 0.725 (multiplicity 2)
4 Pt 0.168 0.250 0.779 (multiplicity 2)

---

Entry 4:
DFT (PBE) results for a relaxed structure of LiThMnAl.

## Properties
formation energy from the elements: 0.0 kJ/mol of atoms

a = 6.686 Å, b = 6.686 Å, c = 6.686 Å
α = 90.00°, β = 90.00°, γ = 90.00°
Space group F-43m (No. 216)
Inequivalent atoms, fractional coordinates:
1 Li 0.000 0.000 0.000 (multiplicity 4)
2 Th 0.250 0.250 0.250 (multiplicity 4)
3 Mn 0.000 0.000 0.500 (multiplicity 4)
4 Al 0.250 0.250 0.750 (multiplicity 4)

---

no.,density of states at the Fermi level (states/eV/atom),uncorrected energy (eV/cell)
1,0.304,-45.678
2,0.424,-21.750
3,0.406,-32.628
4,1.444,-88.988